# 1
The following is a PBE calculation of a relaxed RbHfCo3 crystal, from Alexandria via LeMat-Bulk.

Cell: 4.4500 4.4500 4.4500 Å, 90.00 90.00 90.00°
Closest atoms and distances in Å follow each position.
Space group Pm-3m (No. 221)
Inequivalent atoms, fractional coordinates:
Rb 0.0000 0.0000 0.0000 (multiplicity 1)  6 Co 2.23
Hf 0.5000 0.5000 0.5000 (multiplicity 1)  12 Co 3.15
Co 0.0000 0.0000 0.5000 (multiplicity 3)  2 Rb 2.23

* crystal system: cubic
* E above lowest polymorph: 0.873 eV/atom


# 2
The following is a PBE calculation of a relaxed RbHfTa2Co crystal, from Alexandria via LeMat-Bulk.

Cell: 5.0061 5.0061 5.7327 Å, 90.00 90.00 90.00°
Closest atoms and distances in Å follow each position.
Space group P4/mmm (No. 123)
Inequivalent atoms, fractional coordinates:
Rb 0.0000 0.0000 0.0000 (multiplicity 1)  2 Hf 2.87
Hf 0.0000 0.0000 0.5000 (multiplicity 1)  4 Ta 2.50
Ta 0.0000 0.5000 0.5000 (multiplicity 2)  2 Hf 2.50
Co 0.5000 0.5000 0.0000 (multiplicity 1)  4 Rb 3.54, 8 Ta 3.81

* crystal system: tetragonal


# 3
The following is a PBE calculation of a relaxed Hf3Co2Re crystal, from Alexandria via LeMat-Bulk.

Cell: 3.2222 3.2222 9.4480 Å, 90.00 90.00 90.00°
Closest atoms and distances in Å follow each position.
Space group P4/mmm (No. 123)
Inequivalent atoms, fractional coordinates:
Hf 0.0000 0.0000 0.0000 (multiplicity 1)  8 Co 2.72
Hf 0.0000 0.0000 0.3292 (multiplicity 2)  4 Re 2.79, 4 Co 2.80, 1 Hf 3.11
Co 0.5000 0.5000 0.1575 (multiplicity 2)  8 Hf 2.72-2.80, 1 Co 2.98
Re 0.5000 0.5000 0.5000 (multiplicity 1)  8 Hf 2.79

* crystal system: tetragonal
* E above lowest polymorph: 0.000 eV/atom


# 4
The following is a PBE calculation of a relaxed Hf6Co5Re crystal, from Alexandria via LeMat-Bulk.

Cell: 14.2090 6.3224 4.5040 Å, 90.00 108.25 90.00°
Closest atoms and distances in Å follow each position.
Space group C2/m (No. 12)
Inequivalent atoms, fractional coordinates:
Hf 0.0000 0.2456 0.0000 (multiplicity 4)  6 Co 2.74-2.77, 2 Re 2.77
Hf 0.1683 0.2478 0.6682 (multiplicity 8)  7 Co 2.70-2.76, 1 Re 2.77
Co 0.0000 0.0000 0.5000 (multiplicity 2)  8 Hf 2.74-2.76
Co 0.1652 0.5000 0.1644 (multiplicity 4)  8 Hf 2.74-2.76
Co 0.1704 0.0000 0.1700 (multiplicity 4)  8 Hf 2.70-2.77
Re 0.0000 0.5000 0.5000 (multiplicity 2)  8 Hf 2.77

* crystal system: monoclinic


# 5
The following is a PBE calculation of a relaxed Hf3Co2Re crystal, from Alexandria via LeMat-Bulk.

Cell: 4.5263 13.4611 3.2355 Å, 90.00 90.00 90.00°
Closest atoms and distances in Å follow each position.
Space group Cmmm (No. 65)
Inequivalent atoms, fractional coordinates:
Hf 0.0000 0.0000 0.0000 (multiplicity 2)  4 Co 2.78, 4 Re 2.78
Hf 0.0000 0.3315 0.0000 (multiplicity 4)  6 Co 2.73-2.78, 2 Re 2.79
Co 0.0000 0.1678 0.5000 (multiplicity 4)  8 Hf 2.73-2.78
Re 0.0000 0.5000 0.5000 (multiplicity 2)  8 Hf 2.78-2.79

* crystal system: orthorhombic
* E above lowest polymorph: 0.010 eV/atom


# 6
The following is a PBE calculation of a relaxed Hf2CoRe crystal, from Alexandria via LeMat-Bulk.

Cell: 7.0220 7.0220 5.7139 Å, 90.00 90.00 90.00°
Closest atoms and distances in Å follow each position.
Space group I-42d (No. 122)
Inequivalent atoms, fractional coordinates:
Hf 0.2240 0.2500 0.1250 (multiplicity 8)  2 Co 2.46, 2 Re 2.71
Co 0.0000 0.0000 0.0000 (multiplicity 4)  4 Hf 2.46
Re 0.0000 0.0000 0.5000 (multiplicity 4)  4 Hf 2.71, 2 Co 2.86

* crystal system: tetragonal
* E above lowest polymorph: 0.719 eV/atom


# 7
The following is a PBE calculation of a relaxed Hf2Co2Re crystal, from Alexandria via LeMat-Bulk.

Cell: 6.3901 6.3901 3.8452 Å, 90.00 90.00 90.00°
Closest atoms and distances in Å follow each position.
Space group P4/mbm (No. 127)
Inequivalent atoms, fractional coordinates:
Hf 0.1783 0.3217 0.0000 (multiplicity 4)  6 Co 2.61-2.76
Co 0.1270 0.6270 0.5000 (multiplicity 4)  1 Co 2.29, 2 Re 2.52
Re 0.0000 0.0000 0.5000 (multiplicity 2)  4 Co 2.52

* crystal system: tetragonal


# 8
The following is a PBE calculation of a relaxed HfCo2Re2 crystal, from Alexandria via LeMat-Bulk.

Cell: 7.3209 7.3209 2.6636 Å, 90.00 90.00 90.00°
Closest atoms and distances in Å follow each position.
Space group P4/mbm (No. 127)
Inequivalent atoms, fractional coordinates:
Hf 0.0000 0.0000 0.0000 (multiplicity 2)  2 Hf 2.66, 4 Co 2.92
Co 0.1188 0.3812 0.0000 (multiplicity 4)  3 Co 2.46-2.66, 6 Re 2.52-2.56
Re 0.1750 0.6750 0.5000 (multiplicity 4)  6 Co 2.52-2.56, 2 Re 2.66

* crystal system: tetragonal


# 9
The following is a PBE calculation of a relaxed Hf2CoRe crystal, from Alexandria via LeMat-Bulk.

Cell: 6.4433 6.4433 6.4433 Å, 90.00 90.00 90.00°
Closest atoms and distances in Å follow each position.
Space group Fm-3m (No. 225)
Inequivalent atoms, fractional coordinates:
Hf 0.2500 0.2500 0.2500 (multiplicity 8)  4 Co 2.79, 4 Re 2.79
Co 0.0000 0.0000 0.0000 (multiplicity 4)  8 Hf 2.79
Re 0.0000 0.0000 0.5000 (multiplicity 4)  8 Hf 2.79

* crystal system: cubic
* E above lowest polymorph: 0.005 eV/atom


# 10
The following is a PBE calculation of a relaxed HfCo2Re crystal, from Alexandria via LeMat-Bulk.

Cell: 3.8978 3.8978 16.6908 Å, 90.00 90.00 90.00°
Closest atoms and distances in Å follow each position.
Space group I-42d (No. 122)
Inequivalent atoms, fractional coordinates:
Hf 0.0000 0.0000 0.0000 (multiplicity 4)  4 Co 2.57, 4 Re 2.76
Co 0.2077 0.2500 0.6250 (multiplicity 8)  2 Re 2.44, 2 Co 2.53, 2 Hf 2.57
Re 0.0000 0.0000 0.5000 (multiplicity 4)  4 Co 2.44

* crystal system: tetragonal


# 11
The following is a PBE calculation of a relaxed Hf2CoRe crystal, from Alexandria via LeMat-Bulk.

Cell: 3.2362 3.2362 6.3620 Å, 90.00 90.00 90.00°
Closest atoms and distances in Å follow each position.
Space group P4/mmm (No. 123)
Inequivalent atoms, fractional coordinates:
Hf 0.0000 0.0000 0.2461 (multiplicity 2)  4 Co 2.77, 4 Re 2.80
Co 0.5000 0.5000 0.0000 (multiplicity 1)  8 Hf 2.77
Re 0.5000 0.5000 0.5000 (multiplicity 1)  8 Hf 2.80

* crystal system: tetragonal
* E above lowest polymorph: 0.000 eV/atom


# 12
The following is a PBE calculation of a relaxed Hf4Co2Re crystal, from Alexandria via LeMat-Bulk.

Cell: 6.3363 6.3363 6.3719 Å, 90.00 90.00 90.00°
Closest atoms and distances in Å follow each position.
Space group I4/mmm (No. 139)
Inequivalent atoms, fractional coordinates:
Hf 0.2500 0.2500 0.2500 (multiplicity 8)  2 Re 2.75, 4 Co 2.75
Co 0.0000 0.5000 0.0000 (multiplicity 4)  8 Hf 2.75
Re 0.0000 0.0000 0.0000 (multiplicity 2)  8 Hf 2.75

* crystal system: tetragonal


Number 1: calculated formation energy 2.225 eV/atom, D(E_F) 0.38 states/eV per atom. Number 2: calculated formation energy 2.564 eV/atom, D(E_F) 1.84 states/eV per atom. Number 3: calculated formation energy -0.404 eV/atom, D(E_F) 0.53 states/eV per atom. Number 4: calculated formation energy -0.396 eV/atom, D(E_F) 0.75 states/eV per atom. Number 5: calculated formation energy -0.394 eV/atom, D(E_F) 0.59 states/eV per atom. Number 6: calculated formation energy 0.305 eV/atom, D(E_F) 0.72 states/eV per atom. Number 7: calculated formation energy -0.220 eV/atom, D(E_F) 1.35 states/eV per atom. Number 8: calculated formation energy 0.009 eV/atom, D(E_F) 1.26 states/eV per atom. Number 9: calculated formation energy -0.409 eV/atom, D(E_F) 0.20 states/eV per atom. Number 10: calculated formation energy 0.542 eV/atom, D(E_F) 1.33 states/eV per atom. Number 11: calculated formation energy -0.414 eV/atom, D(E_F) 0.51 states/eV per atom. Number 12: calculated formation energy -0.215 eV/atom, D(E_F) 0.88 states/eV per atom.